(1)
DFT (GGA-PBE) results for a relaxed structure of MnIr4.

Cell lengths 5.5055, 5.5055, 5.5055 Å; angles 90.00, 90.00, 90.00 degrees
Closest atoms and distances in Å follow each position.
Space group Im-3m (No. 229)
Symmetry-distinct sites (fractional):
1 Mn 0.0000 0.0000 0.0000  8 Ir 2.38
2 Ir 0.2500 0.2500 0.2500  2 Mn 2.38

calculated formation energy = 0.90 eV/atom
density = 16.4 g cm⁻³
E above lowest polymorph = 1.009 eV/atom
M_tot = 0.224 μB per atom
total energy = -8.019 eV/atom

(2)
DFT (GGA-PBE) results for a relaxed structure of MnIr.

Cell lengths 9.5364, 2.6772, 6.2626 Å; angles 90.00, 104.15, 90.00 degrees
Closest atoms and distances in Å follow each position.
Space group Cm (No. 8)
Symmetry-distinct sites (fractional):
1 Mn 0.0000 0.0000 0.0000  7 Ir 2.58-2.63, 5 Mn 2.60-2.68
2 Mn 0.0595 0.0000 0.6109  7 Ir 2.53-2.66, 5 Mn 2.63-2.68
3 Mn 0.3907 0.0000 0.2761  6 Ir 2.51-2.68, 6 Mn 2.60-2.68
4 Ir 0.1607 0.5000 0.3319  7 Mn 2.51-2.66, 5 Ir 2.64-2.73
5 Ir 0.2193 0.5000 0.9413  7 Mn 2.58-2.68, 5 Ir 2.64-2.69
6 Ir 0.3454 0.0000 0.6656  6 Mn 2.53-2.66, 6 Ir 2.68-2.73

calculated formation energy = -0.14 eV/atom
density = 15.9 g cm⁻³
M_tot = 0.080 μB per atom
total energy = -9.157 eV/atom

(3)
DFT (GGA-PBE) results for a relaxed structure of MnIr.

Cell lengths 2.9228, 2.9228, 6.0673 Å; angles 90.00, 90.00, 90.00 degrees
Closest atoms and distances in Å follow each position.
Space group P4/nmm (No. 129, origin choice 2)
Symmetry-distinct sites (fractional):
1 Mn 0.2500 0.2500 0.0827  4 Mn 2.30
2 Ir 0.2500 0.2500 0.6565  5 Mn 2.59-2.60, 4 Ir 2.81

calculated formation energy = 0.15 eV/atom
density = 15.8 g cm⁻³
M_tot = 0.438 μB per atom
total energy = -8.862 eV/atom

(4)
DFT (GGA-PBE) results for a relaxed structure of MnIr.

Cell lengths 2.6665, 2.6665, 25.6814 Å; angles 90.00, 90.00, 120.00 degrees
Closest atoms and distances in Å follow each position.
Space group R-3m (No. 166, hexagonal axes)
Symmetry-distinct sites (fractional):
1 Mn 0.0000 0.0000 0.1266  3 Ir 2.56, 9 Mn 2.57-2.67
2 Ir 0.0000 0.0000 0.3801  3 Mn 2.56, 9 Ir 2.67-2.85

calculated formation energy = 0.02 eV/atom
density = 15.6 g cm⁻³
M_tot = 0.720 μB per atom
total energy = -8.993 eV/atom

(5)
DFT (GGA-PBE) results for a relaxed structure of MnIr.

Cell lengths 2.9614, 2.9614, 2.9614 Å; angles 90.00, 90.00, 90.00 degrees
Closest atoms and distances in Å follow each position.
Space group Pm-3m (No. 221)
Symmetry-distinct sites (fractional):
1 Mn 0.0000 0.0000 0.0000  8 Ir 2.56
2 Ir 0.5000 0.5000 0.5000  8 Mn 2.56

calculated formation energy = 0.35 eV/atom
density = 15.8 g cm⁻³
M_tot = 0.001 μB per atom
total energy = -8.669 eV/atom

(6)
DFT (GGA-PBE) results for a relaxed structure of MnIr.

Cell lengths 6.8301, 6.8301, 4.1458 Å; angles 90.00, 90.00, 120.00 degrees
Closest atoms and distances in Å follow each position.
Space group P6_3/m (No. 176)
Symmetry-distinct sites (fractional):
1 Mn 0.1245 0.4984 0.2500  2 Mn 2.27, 3 Ir 2.50-2.51
2 Ir 0.0618 0.2661 0.7500  5 Mn 2.50-2.69, 4 Ir 2.65

calculated formation energy = 0.21 eV/atom
density = 14.7 g cm⁻³
M_tot = 0.000 μB per atom
total energy = -8.806 eV/atom

(7)
DFT (GGA-PBE) results for a relaxed structure of MnIr4.

Cell lengths 4.3895, 4.3895, 4.3895 Å; angles 90.00, 90.00, 90.00 degrees
Closest atoms and distances in Å follow each position.
Space group Pm-3m (No. 221)
Symmetry-distinct sites (fractional):
1 Mn 0.0000 0.0000 0.0000  6 Ir 2.19
2 Ir 0.0000 0.0000 0.5000  2 Mn 2.19
3 Ir 0.5000 0.5000 0.5000  12 Ir 3.10

calculated formation energy = 1.58 eV/atom
density = 16.2 g cm⁻³
E above lowest polymorph = 1.687 eV/atom
M_tot = 0.000 μB per atom
total energy = -7.340 eV/atom

(8)
DFT (GGA-PBE) results for a relaxed structure of MnIr2.

Cell lengths 2.6995, 3.7565, 8.1022 Å; angles 90.00, 90.00, 90.00 degrees
Closest atoms and distances in Å follow each position.
Space group Immm (No. 71)
Symmetry-distinct sites (fractional):
1 Mn 0.0000 0.0000 0.0000  10 Ir 2.67-2.72, 2 Mn 2.70
2 Ir 0.0000 0.0000 0.3359  7 Ir 2.66-2.70, 5 Mn 2.67-2.72

calculated formation energy = -0.11 eV/atom
density = 17.8 g cm⁻³
M_tot = 0.552 μB per atom
total energy = -9.073 eV/atom

(9)
DFT (GGA-PBE) results for a relaxed structure of MnIr2.

Cell lengths 2.7183, 13.8449, 4.2827 Å; angles 90.00, 90.00, 90.00 degrees
Closest atoms and distances in Å follow each position.
Space group Cmcm (No. 63)
Symmetry-distinct sites (fractional):
1 Mn 0.0000 0.2223 0.2500  6 Ir 2.55-2.61, 6 Mn 2.65-2.72
2 Ir 0.0000 0.1215 0.7500  4 Mn 2.55-2.56, 6 Ir 2.67-2.72
3 Ir 0.0000 0.4388 0.7500  2 Mn 2.61, 10 Ir 2.67-2.87

calculated formation energy = -0.06 eV/atom
density = 18.1 g cm⁻³
M_tot = 0.000 μB per atom
total energy = -9.026 eV/atom

(10)
DFT (GGA-PBE) results for a relaxed structure of MnIr.

Cell lengths 7.3154, 9.4185, 11.2060 Å; angles 90.00, 90.00, 90.00 degrees
Closest atoms and distances in Å follow each position.
Space group Fddd (No. 70, origin choice 2)
Symmetry-distinct sites (fractional):
1 Mn 0.1250 0.2665 0.1250  4 Ir 2.28-2.32
2 Ir 0.1250 0.1250 0.2947  4 Mn 2.28-2.32

calculated formation energy = 1.28 eV/atom
density = 8.5 g cm⁻³
M_tot = 0.000 μB per atom
total energy = -7.733 eV/atom

(11)
DFT (GGA-PBE) results for a relaxed structure of MnIr2.

Cell lengths 6.0138, 6.0138, 4.5638 Å; angles 90.00, 90.00, 90.00 degrees
Closest atoms and distances in Å follow each position.
Space group I4/mcm (No. 140)
Symmetry-distinct sites (fractional):
1 Mn 0.0000 0.0000 0.2500  2 Mn 2.28, 8 Ir 2.55
2 Ir 0.1520 0.3480 0.0000  4 Mn 2.55, 3 Ir 2.58-2.83

calculated formation energy = 0.17 eV/atom
density = 17.7 g cm⁻³
M_tot = 0.420 μB per atom
total energy = -8.789 eV/atom

(12)
DFT (GGA-PBE) results for a relaxed structure of Mn3Ir.

Cell lengths 4.5057, 8.3175, 5.1647 Å; angles 90.00, 90.00, 90.00 degrees
Closest atoms and distances in Å follow each position.
Space group Pnma (No. 62)
Symmetry-distinct sites (fractional):
1 Mn 0.0828 0.2500 0.1225  8 Mn 2.54-2.61, 4 Ir 2.54-2.62
2 Mn 0.2486 0.5023 0.8690  9 Mn 2.54-2.64, 3 Ir 2.54-2.59
3 Ir 0.0801 0.2500 0.6147  10 Mn 2.54-2.62, 2 Ir 2.65

calculated formation energy = -0.05 eV/atom
density = 12.3 g cm⁻³
M_tot = 0.148 μB per atom
total energy = -9.145 eV/atom

(13)
DFT (GGA-PBE) results for a relaxed structure of MnIr.

Cell lengths 5.2779, 5.2779, 5.2779 Å; angles 90.00, 90.00, 90.00 degrees
Closest atoms and distances in Å follow each position.
Space group F-43m (No. 216)
Symmetry-distinct sites (fractional):
1 Mn 0.0000 0.0000 0.0000  4 Ir 2.29
2 Ir 0.2500 0.2500 0.7500  4 Mn 2.29

calculated formation energy = 0.92 eV/atom
density = 11.2 g cm⁻³
M_tot = 0.000 μB per atom
total energy = -8.095 eV/atom

(14)
DFT (GGA-PBE) results for a relaxed structure of MnIr3.

Cell lengths 2.7051, 2.7051, 7.5518 Å; angles 90.00, 90.00, 90.00 degrees
Closest atoms and distances in Å follow each position.
Space group P4/mmm (No. 123)
Symmetry-distinct sites (fractional):
1 Mn 0.0000 0.0000 0.0000  8 Ir 2.63, 4 Mn 2.71
2 Ir 0.0000 0.0000 0.5000  12 Ir 2.71-2.74
3 Ir 0.5000 0.5000 0.2397  4 Mn 2.63, 8 Ir 2.71-2.74

calculated formation energy = -0.06 eV/atom
density = 19.0 g cm⁻³
M_tot = 0.369 μB per atom
total energy = -9.001 eV/atom

(15)
DFT (GGA-PBE) results for a relaxed structure of MnIr2.

Cell lengths 7.2318, 7.2318, 2.7052 Å; angles 90.00, 90.00, 120.00 degrees
Closest atoms and distances in Å follow each position.
Space group P-62m (No. 189)
Symmetry-distinct sites (fractional):
1 Mn 0.0000 0.0000 0.0000  9 Ir 2.55-2.61, 2 Mn 2.71
2 Mn 0.3333 0.6667 0.5000  9 Ir 2.54-2.68, 2 Mn 2.71
3 Ir 0.0000 0.2996 0.5000  4 Mn 2.54-2.55, 8 Ir 2.71-2.81
4 Ir 0.0000 0.6396 0.0000  5 Mn 2.61-2.68, 8 Ir 2.71-2.81

calculated formation energy = -0.10 eV/atom
density = 17.9 g cm⁻³
M_tot = 0.261 μB per atom
total energy = -9.063 eV/atom

(16)
DFT (GGA-PBE) results for a relaxed structure of Mn3Ir.

Cell lengths 8.2229, 8.2229, 2.6057 Å; angles 90.00, 90.00, 120.00 degrees
Closest atoms and distances in Å follow each position.
Space group R-3m (No. 166, hexagonal axes)
Symmetry-distinct sites (fractional):
1 Mn 0.0000 0.5000 0.0000  2 Ir 2.53, 6 Mn 2.53-2.61
2 Ir 0.0000 0.0000 0.0000  6 Mn 2.53, 2 Ir 2.61

calculated formation energy = 0.17 eV/atom
density = 11.7 g cm⁻³
M_tot = 1.599 μB per atom
total energy = -8.925 eV/atom

(17)
DFT (GGA-PBE) results for a relaxed structure of MnIr.

Cell lengths 3.7939, 3.7939, 4.8429 Å; angles 90.00, 90.00, 120.00 degrees
Closest atoms and distances in Å follow each position.
Space group P6_3/mmc (No. 194)
Symmetry-distinct sites (fractional):
1 Mn 0.0000 0.0000 0.0000  2 Mn 2.42, 6 Ir 2.50
2 Ir 0.3333 0.6667 0.2500  6 Mn 2.50

calculated formation energy = 0.49 eV/atom
density = 13.6 g cm⁻³
M_tot = 1.155 μB per atom
total energy = -8.522 eV/atom

(18)
DFT (GGA-PBE) results for a relaxed structure of MnIr3.

Cell lengths 2.7397, 3.7941, 5.4221 Å; angles 90.00, 90.00, 90.00 degrees
Closest atoms and distances in Å follow each position.
Space group Pmmm (No. 47)
Symmetry-distinct sites (fractional):
1 Mn 0.0000 0.0000 0.0000  10 Ir 2.70-2.71, 2 Mn 2.74
2 Ir 0.0000 0.0000 0.5000  2 Mn 2.71, 10 Ir 2.71-2.74
3 Ir 0.5000 0.5000 0.2469  8 Ir 2.68-2.74, 4 Mn 2.70

calculated formation energy = -0.09 eV/atom
density = 18.6 g cm⁻³
M_tot = 0.625 μB per atom
total energy = -9.030 eV/atom

(19)
DFT (GGA-PBE) results for a relaxed structure of MnIr3.

Cell lengths 5.4350, 5.4350, 4.3495 Å; angles 90.00, 90.00, 120.00 degrees
Closest atoms and distances in Å follow each position.
Space group P6_3/mmc (No. 194)
Symmetry-distinct sites (fractional):
1 Mn 0.3333 0.6667 0.2500  12 Ir 2.67-2.72
2 Ir 0.1689 0.3378 0.7500  4 Mn 2.67-2.72, 8 Ir 2.68-2.75

calculated formation energy = -0.14 eV/atom
density = 18.9 g cm⁻³
M_tot = 0.439 μB per atom
total energy = -9.080 eV/atom

(20)
DFT (GGA-PBE) results for a relaxed structure of MnIr4.

Cell lengths 6.0680, 6.0680, 3.8469 Å; angles 90.00, 90.00, 90.00 degrees
Closest atoms and distances in Å follow each position.
Space group I4/m (No. 87)
Symmetry-distinct sites (fractional):
1 Mn 0.0000 0.0000 0.0000  12 Ir 2.71-2.72
2 Ir 0.1013 0.7008 0.5000  9 Ir 2.70-2.73, 3 Mn 2.71-2.72

calculated formation energy = -0.10 eV/atom
density = 19.3 g cm⁻³
E above lowest polymorph = 0.000 eV/atom
M_tot = 0.541 μB per atom
total energy = -9.028 eV/atom

(21)
DFT (GGA-PBE) results for a relaxed structure of MnIr8.

Cell lengths 8.1691, 8.1691, 3.8527 Å; angles 90.00, 90.00, 90.00 degrees
Closest atoms and distances in Å follow each position.
Space group I4/mmm (No. 139)
Symmetry-distinct sites (fractional):
1 Mn 0.0000 0.0000 0.0000  12 Ir 2.70-2.71
2 Ir 0.0000 0.3314 0.0000  1 Mn 2.71, 11 Ir 2.72-2.76
3 Ir 0.1644 0.1644 0.5000  10 Ir 2.69-2.76, 2 Mn 2.70

calculated formation energy = -0.07 eV/atom
density = 20.6 g cm⁻³
E above lowest polymorph = 0.000 eV/atom
M_tot = 0.131 μB per atom
total energy = -8.968 eV/atom

(22)
DFT (GGA-PBE) results for a relaxed structure of MnIr.

Cell lengths 3.8978, 3.8978, 5.4762 Å; angles 90.00, 90.00, 120.00 degrees
Closest atoms and distances in Å follow each position.
Space group P6_3mc (No. 186)
Symmetry-distinct sites (fractional):
1 Mn 0.3333 0.6667 0.0000  4 Ir 2.25-2.30
2 Ir 0.3333 0.6667 0.5893  4 Mn 2.25-2.30

calculated formation energy = 0.91 eV/atom
density = 11.4 g cm⁻³
M_tot = 0.000 μB per atom
total energy = -8.105 eV/atom

(23)
DFT (GGA-PBE) results for a relaxed structure of MnIr5.

Cell lengths 4.6965, 2.7402, 6.6454 Å; angles 90.00, 90.45, 90.00 degrees
Closest atoms and distances in Å follow each position.
Space group P2/m (No. 10)
Symmetry-distinct sites (fractional):
1 Mn 0.0000 0.0000 0.0000  10 Ir 2.67-2.72, 2 Mn 2.74
2 Ir 0.1640 0.5000 0.3265  2 Mn 2.67, 10 Ir 2.69-2.78
3 Ir 0.3320 0.0000 0.6707  11 Ir 2.69-2.78, 1 Mn 2.70
4 Ir 0.5000 0.5000 0.0000  8 Ir 2.69-2.74, 4 Mn 2.72

calculated formation energy = -0.08 eV/atom
density = 19.7 g cm⁻³
M_tot = 0.431 μB per atom
total energy = -8.991 eV/atom

(24)
DFT (GGA-PBE) results for a relaxed structure of Mn3Ir.

Cell lengths 2.9485, 2.9485, 5.9287 Å; angles 90.00, 90.00, 90.00 degrees
Closest atoms and distances in Å follow each position.
Space group P4/mmm (No. 123)
Symmetry-distinct sites (fractional):
1 Mn 0.0000 0.0000 0.0000  8 Mn 2.50
2 Mn 0.5000 0.5000 0.2335  5 Mn 2.50-2.77, 4 Ir 2.62
3 Ir 0.0000 0.0000 0.5000  8 Mn 2.62

calculated formation energy = 0.00 eV/atom
density = 11.5 g cm⁻³
M_tot = 1.489 μB per atom
total energy = -9.091 eV/atom

(25)
DFT (GGA-PBE) results for a relaxed structure of MnIr2.

Cell lengths 5.7016, 5.7016, 5.7016 Å; angles 90.00, 90.00, 90.00 degrees
Closest atoms and distances in Å follow each position.
Space group Fm-3m (No. 225)
Symmetry-distinct sites (fractional):
1 Mn 0.0000 0.0000 0.0000  8 Ir 2.47
2 Ir 0.2500 0.2500 0.2500  4 Mn 2.47

calculated formation energy = 0.21 eV/atom
density = 15.7 g cm⁻³
M_tot = 0.608 μB per atom
total energy = -8.752 eV/atom

(26)
DFT (GGA-PBE) results for a relaxed structure of MnIr3.

Cell lengths 2.7578, 4.3473, 4.6905 Å; angles 90.00, 90.00, 90.00 degrees
Closest atoms and distances in Å follow each position.
Space group Pmm2 (No. 25)
Symmetry-distinct sites (fractional):
1 Mn 0.0000 0.0000 0.0000  10 Ir 2.66-2.76, 2 Mn 2.76
2 Ir 0.0000 0.5000 0.6713  2 Mn 2.66, 10 Ir 2.68-2.76
3 Ir 0.5000 0.0000 0.5092  4 Mn 2.68-2.76, 8 Ir 2.68-2.76
4 Ir 0.5000 0.5000 0.1663  4 Mn 2.69, 8 Ir 2.70-2.76

calculated formation energy = -0.10 eV/atom
density = 18.7 g cm⁻³
M_tot = 0.578 μB per atom
total energy = -9.034 eV/atom

(27)
DFT (GGA-PBE) results for a relaxed structure of Mn3Ir.

Cell lengths 3.6935, 3.6935, 3.6935 Å; angles 90.00, 90.00, 90.00 degrees
Closest atoms and distances in Å follow each position.
Space group Pm-3m (No. 221)
Symmetry-distinct sites (fractional):
1 Mn 0.0000 0.0000 0.5000  8 Mn 2.61, 4 Ir 2.61
2 Ir 0.5000 0.5000 0.5000  12 Mn 2.61

calculated formation energy = -0.19 eV/atom
density = 11.8 g cm⁻³
M_tot = 0.377 μB per atom
total energy = -9.279 eV/atom